Record 1
The following is a GGA-PBE calculation of a relaxed structure of TaFeRh2, from Alexandria via LeMat-Bulk.

Output
ΔE_f, eV per atom: 0.02
Magnetization, Bohr magnetons per cell: 3.081
Calculated volume, Å³ per cell: 59.5
Energy, eV/atom: -8.7357
Density, g cm⁻³: 12.3

Geometry as CIF:
```
data_TaFeRh2
_cell_length_a 8.940
_cell_length_b 8.940
_cell_length_c 8.940
_cell_angle_alpha 17.99
_cell_angle_beta 17.99
_cell_angle_gamma 17.99
_space_group_name_H-M_alt 'P 1'
_space_group_IT_number 1
loop_
_space_group_symop_operation_xyz
'x,y,z'
loop_
_atom_site_label
_atom_site_type_symbol
_atom_site_fract_x
_atom_site_fract_y
_atom_site_fract_z
Fe1 Fe 0.747 0.747 0.747
Rh1 Rh 0.004 0.004 0.004
Rh2 Rh 0.249 0.249 0.249
Ta1 Ta 0.499 0.499 0.499
```

***

Record 2
The following is a GGA-PBE calculation of a relaxed structure of TaFeRh3, from Alexandria via LeMat-Bulk.

Output
ΔE_f, eV per atom: 0.90
Magnetization, Bohr magnetons per cell: 3.578
Calculated volume, Å³ per cell: 85.9
Energy, eV/atom: -7.5710
Density, g cm⁻³: 10.5

Geometry as CIF:
```
data_TaFeRh3
_cell_length_a 4.412
_cell_length_b 4.412
_cell_length_c 4.412
_cell_angle_alpha 90.00
_cell_angle_beta 90.00
_cell_angle_gamma 90.00
_space_group_name_H-M_alt 'P 1'
_space_group_IT_number 1
loop_
_space_group_symop_operation_xyz
'x,y,z'
loop_
_atom_site_label
_atom_site_type_symbol
_atom_site_fract_x
_atom_site_fract_y
_atom_site_fract_z
Rh1 Rh 0.000 0.500 0.000
Rh2 Rh 0.000 0.000 0.500
Rh3 Rh 0.500 0.000 0.000
Fe1 Fe 0.000 0.000 0.000
Ta1 Ta 0.500 0.500 0.500
```

***

Record 3
The following is a GGA-PBE calculation of a relaxed structure of TaFeRh2, from Alexandria via LeMat-Bulk.

Output
ΔE_f, eV per atom: -0.30
Magnetization, Bohr magnetons per cell: 3.213
Calculated volume, Å³ per cell: 59.4
Energy, eV/atom: -9.0539
Density, g cm⁻³: 12.4

Geometry as CIF:
```
data_TaFeRh2
_cell_length_a 3.257
_cell_length_b 3.257
_cell_length_c 5.598
_cell_angle_alpha 90.00
_cell_angle_beta 90.00
_cell_angle_gamma 90.00
_space_group_name_H-M_alt 'P 1'
_space_group_IT_number 1
loop_
_space_group_symop_operation_xyz
'x,y,z'
loop_
_atom_site_label
_atom_site_type_symbol
_atom_site_fract_x
_atom_site_fract_y
_atom_site_fract_z
Fe1 Fe 0.500 0.500 0.750
Rh1 Rh 0.000 0.000 0.993
Rh2 Rh 0.000 0.000 0.507
Ta1 Ta 0.500 0.500 0.250
```

***

Record 4
The following is a GGA-PBE calculation of a relaxed structure of TaFe2Rh, from Alexandria via LeMat-Bulk.

Output
ΔE_f, eV per atom: -0.03
Magnetization, Bohr magnetons per cell: 5.047
Calculated volume, Å³ per cell: 56.6
Energy, eV/atom: -9.0665
Density, g cm⁻³: 11.6

Geometry as CIF:
```
data_TaFe2Rh
_cell_length_a 4.220
_cell_length_b 2.706
_cell_length_c 5.076
_cell_angle_alpha 77.34
_cell_angle_beta 90.00
_cell_angle_gamma 90.00
_space_group_name_H-M_alt 'P 1'
_space_group_IT_number 1
loop_
_space_group_symop_operation_xyz
'x,y,z'
loop_
_atom_site_label
_atom_site_type_symbol
_atom_site_fract_x
_atom_site_fract_y
_atom_site_fract_z
Fe1 Fe 0.000 0.996 0.000
Fe2 Fe 0.000 0.504 0.500
Rh1 Rh 0.500 0.250 0.250
Ta1 Ta 0.500 0.750 0.750
```

***

Record 5
The following is a GGA-PBE calculation of a relaxed structure of TaFeRh2, from Alexandria via LeMat-Bulk.

Output
ΔE_f, eV per atom: -0.10
Magnetization, Bohr magnetons per cell: 3.466
Calculated volume, Å³ per cell: 59.5
Energy, eV/atom: -8.8595
Density, g cm⁻³: 12.4

Geometry as CIF:
```
data_TaFeRh2
_cell_length_a 8.834
_cell_length_b 8.834
_cell_length_c 8.834
_cell_angle_alpha 18.32
_cell_angle_beta 18.32
_cell_angle_gamma 18.32
_space_group_name_H-M_alt 'P 1'
_space_group_IT_number 1
loop_
_space_group_symop_operation_xyz
'x,y,z'
loop_
_atom_site_label
_atom_site_type_symbol
_atom_site_fract_x
_atom_site_fract_y
_atom_site_fract_z
Fe1 Fe 0.750 0.750 0.750
Rh1 Rh 0.004 0.004 0.004
Rh2 Rh 0.496 0.496 0.496
Ta1 Ta 0.250 0.250 0.250
```

***

Record 6
The following is a GGA-PBE calculation of a relaxed structure of TaFe2Rh, from Alexandria via LeMat-Bulk.

Output
ΔE_f, eV per atom: -0.08
Magnetization, Bohr magnetons per cell: 4.305
Calculated volume, Å³ per cell: 55.3
Energy, eV/atom: -9.1107
Density, g cm⁻³: 11.9

Geometry as CIF:
```
data_TaFe2Rh
_cell_length_a 4.276
_cell_length_b 4.276
_cell_length_c 4.276
_cell_angle_alpha 60.00
_cell_angle_beta 60.00
_cell_angle_gamma 60.00
_space_group_name_H-M_alt 'P 1'
_space_group_IT_number 1
loop_
_space_group_symop_operation_xyz
'x,y,z'
loop_
_atom_site_label
_atom_site_type_symbol
_atom_site_fract_x
_atom_site_fract_y
_atom_site_fract_z
Rh1 Rh 0.000 0.000 0.000
Fe1 Fe 0.250 0.250 0.250
Fe2 Fe 0.750 0.750 0.750
Ta1 Ta 0.500 0.500 0.500
```

***

Record 7
The following is a GGA-PBE calculation of a relaxed structure of TaFe2Rh, from Alexandria via LeMat-Bulk.

Output
ΔE_f, eV per atom: -0.17
Magnetization, Bohr magnetons per cell: 4.131
Calculated volume, Å³ per cell: 55.3
Energy, eV/atom: -9.2034
Density, g cm⁻³: 11.9

Geometry as CIF:
```
data_TaFe2Rh
_cell_length_a 4.728
_cell_length_b 4.728
_cell_length_c 4.728
_cell_angle_alpha 133.12
_cell_angle_beta 133.12
_cell_angle_gamma 68.46
_space_group_name_H-M_alt 'P 1'
_space_group_IT_number 1
loop_
_space_group_symop_operation_xyz
'x,y,z'
loop_
_atom_site_label
_atom_site_type_symbol
_atom_site_fract_x
_atom_site_fract_y
_atom_site_fract_z
Fe1 Fe 0.000 0.000 0.000
Fe2 Fe 0.250 0.750 0.500
Rh1 Rh 0.500 0.500 0.000
Ta1 Ta 0.750 0.250 0.500
```

***

Record 8
The following is a GGA-PBE calculation of a relaxed structure of TaFeRh2, from Alexandria via LeMat-Bulk.

Output
ΔE_f, eV per atom: -0.20
Magnetization, Bohr magnetons per cell: 2.878
Calculated volume, Å³ per cell: 59.4
Energy, eV/atom: -8.9522
Density, g cm⁻³: 12.4

Geometry as CIF:
```
data_TaFeRh2
_cell_length_a 3.233
_cell_length_b 3.233
_cell_length_c 5.684
_cell_angle_alpha 90.00
_cell_angle_beta 90.00
_cell_angle_gamma 90.00
_space_group_name_H-M_alt 'P 1'
_space_group_IT_number 1
loop_
_space_group_symop_operation_xyz
'x,y,z'
loop_
_atom_site_label
_atom_site_type_symbol
_atom_site_fract_x
_atom_site_fract_y
_atom_site_fract_z
Fe1 Fe 0.500 0.500 0.765
Rh1 Rh 0.000 0.000 0.967
Rh2 Rh 0.500 0.500 0.267
Ta1 Ta 0.000 0.000 0.501
```

***

Record 9
The following is a GGA-PBE calculation of a relaxed structure of TaFe2Rh, from Alexandria via LeMat-Bulk.

Output
ΔE_f, eV per atom: -0.22
Magnetization, Bohr magnetons per cell: 3.653
Calculated volume, Å³ per cell: 54.6
Energy, eV/atom: -9.2545
Density, g cm⁻³: 12.0

Geometry as CIF:
```
data_TaFe2Rh
_cell_length_a 3.777
_cell_length_b 3.777
_cell_length_c 3.830
_cell_angle_alpha 90.00
_cell_angle_beta 90.00
_cell_angle_gamma 90.00
_space_group_name_H-M_alt 'P 1'
_space_group_IT_number 1
loop_
_space_group_symop_operation_xyz
'x,y,z'
loop_
_atom_site_label
_atom_site_type_symbol
_atom_site_fract_x
_atom_site_fract_y
_atom_site_fract_z
Rh1 Rh 0.500 0.000 0.500
Fe1 Fe 0.000 0.000 0.000
Fe2 Fe 0.500 0.500 0.000
Ta1 Ta 0.000 0.500 0.500
```

***

Record 10
The following is a GGA-PBE calculation of a relaxed structure of TaFeTcRh, from Alexandria via LeMat-Bulk.

Output
ΔE_f, eV per atom: -0.17
Magnetization, Bohr magnetons per cell: 4.426
Calculated volume, Å³ per cell: 59.9
Energy, eV/atom: -9.6789
Density, g cm⁻³: 12.1

Geometry as CIF:
```
data_TaFeTcRh
_cell_length_a 4.392
_cell_length_b 4.392
_cell_length_c 4.392
_cell_angle_alpha 60.00
_cell_angle_beta 60.00
_cell_angle_gamma 60.00
_space_group_name_H-M_alt 'P 1'
_space_group_IT_number 1
loop_
_space_group_symop_operation_xyz
'x,y,z'
loop_
_atom_site_label
_atom_site_type_symbol
_atom_site_fract_x
_atom_site_fract_y
_atom_site_fract_z
Fe1 Fe 0.500 0.500 0.500
Rh1 Rh 0.750 0.750 0.750
Tc1 Tc 0.250 0.250 0.250
Ta1 Ta 0.000 0.000 0.000
```

***

Record 11
The following is a GGA-PBE calculation of a relaxed structure of TaVFeRh, from Alexandria via LeMat-Bulk.

Output
ΔE_f, eV per atom: -0.13
Magnetization, Bohr magnetons per cell: 2.523
Calculated volume, Å³ per cell: 57.5
Energy, eV/atom: -9.3281
Density, g cm⁻³: 11.3

Geometry as CIF:
```
data_TaVFeRh
_cell_length_a 4.331
_cell_length_b 4.331
_cell_length_c 4.331
_cell_angle_alpha 60.00
_cell_angle_beta 60.00
_cell_angle_gamma 60.00
_space_group_name_H-M_alt 'P 1'
_space_group_IT_number 1
loop_
_space_group_symop_operation_xyz
'x,y,z'
loop_
_atom_site_label
_atom_site_type_symbol
_atom_site_fract_x
_atom_site_fract_y
_atom_site_fract_z
V1 V 0.500 0.500 0.500
Rh1 Rh 0.750 0.750 0.750
Fe1 Fe 0.250 0.250 0.250
Ta1 Ta 0.000 0.000 0.000
```

***

Record 12
The following is a GGA-PBE calculation of a relaxed structure of TaZnFeRh, from Alexandria via LeMat-Bulk.

Output
ΔE_f, eV per atom: -0.33
Magnetization, Bohr magnetons per cell: 0.000
Calculated volume, Å³ per cell: 55.8
Energy, eV/atom: -7.5631
Density, g cm⁻³: 12.0

Geometry as CIF:
```
data_TaZnFeRh
_cell_length_a 4.290
_cell_length_b 4.290
_cell_length_c 4.290
_cell_angle_alpha 60.00
_cell_angle_beta 60.00
_cell_angle_gamma 60.00
_space_group_name_H-M_alt 'P 1'
_space_group_IT_number 1
loop_
_space_group_symop_operation_xyz
'x,y,z'
loop_
_atom_site_label
_atom_site_type_symbol
_atom_site_fract_x
_atom_site_fract_y
_atom_site_fract_z
Zn1 Zn 0.000 0.000 0.000
Rh1 Rh 0.250 0.250 0.250
Fe1 Fe 0.750 0.750 0.750
Ta1 Ta 0.500 0.500 0.500
```

***

Record 13
The following is a GGA-PBE calculation of a relaxed structure of Tb6Fe2Rh, from Alexandria via LeMat-Bulk.

Output
ΔE_f, eV per atom: -0.18
Magnetization, Bohr magnetons per cell: 4.108
Calculated volume, Å³ per cell: 430.9
Energy, eV/atom: -5.9668
Density, g cm⁻³: 9.0

Geometry as CIF:
```
data_Tb6Fe2Rh
_cell_length_a 8.245
_cell_length_b 8.245
_cell_length_c 8.245
_cell_angle_alpha 109.43
_cell_angle_beta 111.51
_cell_angle_gamma 107.50
_space_group_name_H-M_alt 'P 1'
_space_group_IT_number 1
loop_
_space_group_symop_operation_xyz
'x,y,z'
loop_
_atom_site_label
_atom_site_type_symbol
_atom_site_fract_x
_atom_site_fract_y
_atom_site_fract_z
Tb1 Tb 0.563 0.742 0.821
Tb2 Tb 0.437 0.258 0.179
Tb3 Tb 0.079 0.258 0.821
Tb4 Tb 0.921 0.742 0.179
Tb5 Tb 0.809 0.741 0.551
Tb6 Tb 0.191 0.259 0.449
Tb7 Tb 0.191 0.741 0.932
Tb8 Tb 0.809 0.259 0.068
Tb9 Tb 0.698 0.379 0.682
Tb10 Tb 0.302 0.621 0.318
Tb11 Tb 0.302 0.984 0.682
Tb12 Tb 0.698 0.016 0.318
Fe1 Fe 0.500 0.390 0.890
Fe2 Fe 0.500 0.610 0.110
Fe3 Fe 0.624 0.000 0.624
Fe4 Fe 0.376 0.000 0.376
Rh1 Rh 0.000 0.500 0.500
Rh2 Rh 0.000 0.000 0.000
```

***

Record 14
The following is a GGA-PBE calculation of a relaxed structure of Tb2FeRh, from Alexandria via LeMat-Bulk.

Output
ΔE_f, eV per atom: -0.31
Magnetization, Bohr magnetons per cell: 1.597
Calculated volume, Å³ per cell: 80.5
Energy, eV/atom: -6.5742
Density, g cm⁻³: 9.8

Geometry as CIF:
```
data_Tb2FeRh
_cell_length_a 3.403
_cell_length_b 4.863
_cell_length_c 4.863
_cell_angle_alpha 90.00
_cell_angle_beta 90.00
_cell_angle_gamma 90.00
_space_group_name_H-M_alt 'P 1'
_space_group_IT_number 1
loop_
_space_group_symop_operation_xyz
'x,y,z'
loop_
_atom_site_label
_atom_site_type_symbol
_atom_site_fract_x
_atom_site_fract_y
_atom_site_fract_z
Rh1 Rh 0.500 0.000 0.000
Tb1 Tb 0.000 0.000 0.500
Tb2 Tb 0.000 0.500 0.000
Fe1 Fe 0.500 0.500 0.500
```